Below is Ho8Te2Os after structural relaxation, with properties calculated at the PBE level.

Values from the calculation:
For the density of states at the Fermi level, the calculation gives 11.16 states/eV/f.u. The density is 8.99 g/cm³.

```
data_Ho8Te2Os
_symmetry_space_group_name_H-M 'P 1'
_symmetry_Int_Tables_number 1
_cell_length_a 10.378
_cell_length_b 10.378
_cell_length_c 7.787
_cell_angle_alpha 91.03
_cell_angle_beta 91.03
_cell_angle_gamma 22.87
loop_
_symmetry_equiv_pos_as_xyz
'x,y,z'
loop_
_atom_site_label
_atom_site_type_symbol
_atom_site_fract_x
_atom_site_fract_y
_atom_site_fract_z
_atom_site_occupancy
Ho1 Ho 0.004 0.004 0.226 1
Ho2 Ho 0.221 0.221 0.682 1
Ho3 Ho 0.368 0.368 0.009 1
Ho4 Ho 0.408 0.408 0.462 1
Ho5 Ho 0.592 0.592 0.538 1
Ho6 Ho 0.632 0.632 0.991 1
Ho7 Ho 0.779 0.779 0.318 1
Ho8 Ho 0.996 0.996 0.774 1
Te1 Te 0.164 0.164 0.301 1
Te2 Te 0.836 0.836 0.699 1
Os1 Os 0.500 0.500 0.000 1
```

Below is Ho7Te2Os2 after structural relaxation, with properties calculated at the PBE level.

Values from the calculation:
For the density of states at the Fermi level, the calculation gives 8.87 states/eV/f.u. The density is 10.21 g/cm³.

```
data_Ho7Te2Os2
_symmetry_space_group_name_H-M 'P 1'
_symmetry_Int_Tables_number 1
_cell_length_a 9.355
_cell_length_b 9.355
_cell_length_c 9.355
_cell_angle_alpha 155.42
_cell_angle_beta 65.34
_cell_angle_gamma 120.52
loop_
_symmetry_equiv_pos_as_xyz
'x,y,z'
loop_
_atom_site_label
_atom_site_type_symbol
_atom_site_fract_x
_atom_site_fract_y
_atom_site_fract_z
_atom_site_occupancy
Ho1 Ho 0.000 0.000 0.000 1
Ho2 Ho 0.056 0.371 0.685 1
Ho3 Ho 0.087 0.738 0.349 1
Ho4 Ho 0.388 0.738 0.651 1
Ho5 Ho 0.448 0.582 0.866 1
Ho6 Ho 0.686 0.371 0.315 1
Ho7 Ho 0.716 0.582 0.134 1
Te1 Te 0.334 0.334 0.000 1
Te2 Te 0.735 0.235 0.500 1
Os1 Os 0.306 0.067 0.238 1
Os2 Os 0.829 0.067 0.762 1
```

| no. | raw formation energy (meV/atom) |
| --- | --- |
| 1 | -466 |
| 2 | -668 |